VASP calculation (PBE) on ZrZn2Au after structural relaxation.

Space-group type: Cmmm (65)
Formation energy from the elements (eV per atom): -0.0894
E (eV per atom): -3.68

Cell: 5.3636 5.3636 2.7383 Å, 90.00 90.00 113.72°
Element x y z (fractional)
Zr1 0.5000 0.0000 0.5000
Zn1 0.0000 0.0000 0.0000
Zn2 0.5000 0.5000 0.0000
Au1 0.0000 0.5000 0.5000